CaV6O11F: relaxed, PBE+U.

Cell lengths 5.168, 5.390, 8.593 Å; angles 87.67, 88.30, 75.07 degrees
Space group P1 (No. 1)
Asymmetric unit:
Ca  0.000  0.000  0.000 (multiplicity 1)
V  0.254  0.970  0.515 (multiplicity 1)
V  0.434  0.160  0.196 (multiplicity 1)
V  0.437  0.161  0.820 (multiplicity 1)
V  0.813  0.562  0.018 (multiplicity 1)
V  0.854  0.572  0.351 (multiplicity 1)
V  0.857  0.569  0.688 (multiplicity 1)
O  0.037  0.753  0.515 (multiplicity 1)
O  0.141  0.239  0.675 (multiplicity 1)
O  0.154  0.246  0.354 (multiplicity 1)
O  0.195  0.309  0.021 (multiplicity 1)
O  0.522  0.873  0.351 (multiplicity 1)
O  0.523  0.865  0.678 (multiplicity 1)
O  0.551  0.918  0.017 (multiplicity 1)
O  0.670  0.352  0.192 (multiplicity 1)
O  0.692  0.368  0.854 (multiplicity 1)
O  0.988  0.711  0.180 (multiplicity 1)
O  0.999  0.707  0.832 (multiplicity 1)
F  0.673  0.417  0.529 (multiplicity 1)

The calculated total energy is -142.60 eV for the cell shown. As for the crystal system: triclinic.